[1]
## MgNiMo2 (PBE)

Data for MgNiMo2 after structural relaxation.

Results
Raw total energy, eV for the cell shown: -28.0

abc: 2.648 3.983 5.773
angles: 90.00 90.00 90.00
Element x y z (fractional)
Mg 0.500 0.500 0.731
Mo 0.000 0.000 0.011
Mo 0.500 0.500 0.255
Ni 0.000 0.000 0.502

[2]
## MgNi2Mo (PBE)

Data for MgNi2Mo after structural relaxation.

Results
Raw total energy, eV for the cell shown: -24.0

abc: 4.453 2.662 4.568
angles: 90.02 90.00 90.00
Element x y z (fractional)
Mg 0.000 0.626 0.411
Mo 0.500 0.624 0.833
Ni 0.000 0.125 0.928
Ni 0.500 0.125 0.328

[3]
## MgNiMo2 (PBE)

Data for MgNiMo2 after structural relaxation.

Results
Raw total energy, eV for the cell shown: -28.0

abc: 4.397 4.397 4.397
angles: 120.04 120.04 89.94
Element x y z (fractional)
Mg 0.750 0.250 0.500
Mo 0.000 0.000 0.000
Mo 0.250 0.750 0.500
Ni 0.500 0.500 0.000

[4]
## MgNi2Mo (PBE)

Data for MgNi2Mo after structural relaxation.

Results
Raw total energy, eV for the cell shown: -23.1

abc: 4.223 4.223 4.223
angles: 60.00 60.00 60.00
Element x y z (fractional)
Mg 0.500 0.500 0.500
Mo 0.750 0.750 0.750
Ni 0.000 0.000 0.000
Ni 0.250 0.250 0.250

[5]
## Mg6NiMo (PBE)

Data for Mg6NiMo after structural relaxation.

Results
ΔE to the lowest computed polymorph, meV per atom: 27
Raw total energy, eV for the cell shown: -24.4

abc: 6.097 6.097 4.742
angles: 90.00 90.00 122.38
Each line ends with the local moment (μB).
Element x y z (fractional)
Mg 0.827 0.675 0.500  -0.01
Mg 0.325 0.173 0.500  -0.01
Mg 0.660 0.832 0.000  0.00
Mg 0.168 0.340 0.000  0.00
Mg 0.687 0.313 0.000  0.00
Mg 0.176 0.824 0.000  0.00
Ni 0.833 0.167 0.500  0.35
Mo 0.324 0.676 0.500  1.09

[6]
## MgNiMo2 (PBE)

Data for MgNiMo2 after structural relaxation.

Results
Raw total energy, eV for the cell shown: -28.2

abc: 2.692 2.692 8.375
angles: 90.00 90.00 90.00
Element x y z (fractional)
Mg 0.500 0.500 0.750
Mo 0.000 0.000 0.027
Mo 0.000 0.000 0.473
Ni 0.500 0.500 0.250

[7]
## MgNiMo2 (PBE)

Data for MgNiMo2 after structural relaxation.

Results
Raw total energy, eV for the cell shown: -28.3

abc: 3.255 4.049 4.554
angles: 90.00 90.00 90.00
Element x y z (fractional)
Mg 0.000 0.500 0.500
Mo 0.000 0.000 0.000
Mo 0.500 0.500 0.000
Ni 0.500 0.000 0.500

[8]
## Mg2Ni2Mo (PBE)

Data for Mg2Ni2Mo after structural relaxation.

Results
Raw total energy, eV for the cell shown: -49.0

abc: 7.142 7.142 2.848
angles: 90.00 90.00 90.00
Element x y z (fractional)
Ni 0.367 0.867 0.000
Ni 0.867 0.633 0.000
Ni 0.633 0.133 0.000
Ni 0.133 0.367 0.000
Mo 0.000 0.000 0.000
Mo 0.500 0.500 0.000
Mg 0.164 0.664 0.500
Mg 0.664 0.836 0.500
Mg 0.836 0.336 0.500
Mg 0.336 0.164 0.500

So what do the calculations give for energy relative to the elements? Going down the list: 0.258 -0.003 0.262 0.227 0.226 0.216 0.180 0.218 eV per atom.